1.
# PPdAu3

A PBEsol-optimized structure of PPdAu3 (SCAN, Alexandria).

Excess energy over the best structure of this formula in the dataset (meV/atom): 1005
E (eV/f.u.): -244.24
Energy relative to the elements (meV per atom): 1281.1

```
data_PPdAu3
_symmetry_space_group_name_H-M 'P m -3 m'
_symmetry_Int_Tables_number 221
_symmetry_space_group_name_Hall '-P 4 2 3'
_cell_length_a 4.864
_cell_length_b 4.864
_cell_length_c 4.864
_cell_angle_alpha 90.00
_cell_angle_beta 90.00
_cell_angle_gamma 90.00
loop_
_atom_site_label
_atom_site_fract_x
_atom_site_fract_y
_atom_site_fract_z
P1 0.000 0.000 0.000
Pd1 0.500 0.500 0.500
Au1 0.000 0.500 0.500
```

2.
# FeIr2

A PBEsol-optimized structure of FeIr2 (SCAN, Alexandria).

E (eV/f.u.): -160.61
Energy relative to the elements (meV per atom): -94.1

```
data_FeIr2
_symmetry_space_group_name_H-M 'I 4/m m m'
_symmetry_Int_Tables_number 139
_symmetry_space_group_name_Hall '-I 4 2'
_cell_length_a 2.676
_cell_length_b 2.676
_cell_length_c 10.911
_cell_angle_alpha 90.00
_cell_angle_beta 90.00
_cell_angle_gamma 90.00
loop_
_atom_site_label
_atom_site_fract_x
_atom_site_fract_y
_atom_site_fract_z
Fe1 0.000 0.000 0.000
Ir1 0.000 0.000 0.339
```

3.
# La3BWO9

A PBEsol-optimized structure of La3BWO9 (SCAN, Alexandria).

Formation energy (no corrections) (kJ per mole of atoms): -321.9
E (eV/f.u.): -309.22

```
data_La3BWO9
_symmetry_space_group_name_H-M 'P 63'
_symmetry_Int_Tables_number 173
_cell_length_a 8.7628
_cell_length_b 8.7628
_cell_length_c 5.4641
_cell_angle_alpha 90.00
_cell_angle_beta 90.00
_cell_angle_gamma 120.00
loop_
_symmetry_equiv_pos_as_xyz
'x,y,z'
'x-y,x,z+1/2'
'-y,x-y,z'
'-x,-y,z+1/2'
'-x+y,-x,z'
'y,-x+y,z+1/2'
loop_
_atom_site_label
_atom_site_fract_x
_atom_site_fract_y
_atom_site_fract_z
La1 0.0908 0.3701 0.0000
B1 0.0000 0.0000 0.3576
W1 0.3333 0.6667 0.4860
O1 0.0454 0.1763 0.3631
O2 0.1501 0.6358 0.2580
O3 0.1668 0.6697 0.7110
```

4.
# YSbRh2

A PBEsol-optimized structure of YSbRh2 (SCAN, Alexandria).

Formation energy (no corrections) (kJ per mole of atoms): -77.7
E (eV/f.u.): -135.87

```
data_YSbRh2
_symmetry_space_group_name_H-M 'I m m m'
_symmetry_Int_Tables_number 71
_symmetry_space_group_name_Hall '-I 2 2'
_cell_length_a 4.342
_cell_length_b 4.356
_cell_length_c 7.447
_cell_angle_alpha 90.00
_cell_angle_beta 90.00
_cell_angle_gamma 90.00
loop_
_atom_site_label
_atom_site_fract_x
_atom_site_fract_y
_atom_site_fract_z
Y1 0.000 0.000 0.000
Sb1 0.000 0.000 0.500
Rh1 0.000 0.500 0.249
```

5.
# LiZrGeN2

A PBEsol-optimized structure of LiZrGeN2 (SCAN, Alexandria).

Formation energy (no corrections) (kJ per mole of atoms): 130.9
E (eV/f.u.): -63.98

```
data_LiZrGeN2
_symmetry_space_group_name_H-M 'P 4/m m m'
_symmetry_Int_Tables_number 123
_symmetry_space_group_name_Hall '-P 4 2'
_cell_length_a 3.904
_cell_length_b 3.904
_cell_length_c 5.030
_cell_angle_alpha 90.00
_cell_angle_beta 90.00
_cell_angle_gamma 90.00
loop_
_atom_site_label
_atom_site_fract_x
_atom_site_fract_y
_atom_site_fract_z
Li1 0.000 0.000 0.000
Zr1 0.500 0.500 0.000
Ge1 0.500 0.500 0.500
N1 0.000 0.500 0.500
```

6.
# NaB2TeRh

A PBEsol-optimized structure of NaB2TeRh (SCAN, Alexandria).

Formation energy (no corrections) (kJ per mole of atoms): 68.1
E (eV/f.u.): -86.57

```
data_NaB2TeRh
_symmetry_space_group_name_H-M 'P 4/m m m'
_symmetry_Int_Tables_number 123
_symmetry_space_group_name_Hall '-P 4 2'
_cell_length_a 4.057
_cell_length_b 4.057
_cell_length_c 5.468
_cell_angle_alpha 90.00
_cell_angle_beta 90.00
_cell_angle_gamma 90.00
loop_
_atom_site_label
_atom_site_fract_x
_atom_site_fract_y
_atom_site_fract_z
Na1 0.000 0.000 0.000
B1 0.000 0.500 0.500
Te1 0.500 0.500 0.000
Rh1 0.000 0.000 0.500
```

Q: E of number 4 (YSbRh2)?
A: -135.87 eV/f.u.

Q: Which value of E does entry 3 give?
A: -309.22 eV/f.u.

Q: E of number 1 (PPdAu3)?
A: -244.24 eV/f.u.